First-principles (GGA-PBE) data for a relaxed Li2Cu7Ni3 crystal, as listed in Alexandria via LeMat-Bulk.

Magnetic moment (μB/f.u.): 0.0
Calculated volume (Å³ per cell): 147
Formation enthalpy at 0 K (meV per atom): 72
SG: Cmmm (65)

a = 2.5526 Å, b = 4.2370 Å, c = 13.7425 Å
α = 98.87°, β = 90.00°, γ = 90.00°
Closest atoms and distances in Å follow each position.
Positions (direct):
Li 0.0000 0.8267 0.6534  4 Ni 2.55, 2 Li 2.55, 5 Cu 2.57-2.71
Li 0.0000 0.1733 0.3466  4 Ni 2.55, 2 Li 2.55, 5 Cu 2.57-2.71
Cu 0.0000 0.4251 0.8502  4 Ni 2.40-2.41, 6 Cu 2.49-2.55
Cu 0.0000 0.7271 0.4541  2 Ni 2.44, 4 Cu 2.46-2.55, 3 Li 2.57-2.71
Cu 0.0000 0.0000 0.0000  4 Ni 2.47, 6 Cu 2.55-2.66
Cu 0.0000 0.5749 0.1498  4 Ni 2.40-2.41, 6 Cu 2.49-2.55
Cu 0.5000 0.0858 0.1717  8 Cu 2.49-2.66, 2 Li 2.70, 2 Ni 2.75
Cu 0.5000 0.9142 0.8283  8 Cu 2.49-2.66, 2 Li 2.70, 2 Ni 2.75
Cu 0.0000 0.2729 0.5459  2 Ni 2.44, 4 Cu 2.46-2.55, 3 Li 2.57-2.71
Ni 0.5000 0.5000 0.0000  8 Cu 2.40-2.47, 2 Ni 2.55
Ni 0.5000 0.6503 0.3006  4 Cu 2.41-2.44, 4 Li 2.55, 2 Ni 2.55
Ni 0.5000 0.3497 0.6994  4 Cu 2.41-2.44, 4 Li 2.55, 2 Ni 2.55